Computed, not measured: a geometry-optimized CaMn3O4 structure at the PBEsol level of DFT.

Structure (POSCAR):
```
CaMn3O4
1.0
3.211 0.000 0.000
0.000 5.436 0.049
0.000 -1.774 5.138
O Mn Ca
4 3 1
Direct
0.000 0.741 0.259
0.500 0.741 0.741
0.500 0.259 0.259
0.000 0.259 0.741
0.500 0.000 0.500
0.500 0.500 0.000
0.000 0.500 0.500
0.000 0.000 0.000
```

**ΔE_f (raw)**: -12.52 eV per formula unit
**Calculated volume**: 11.2 A^3/atom
**Total magnetization**: 14.49 Bohr magnetons per cell

***

Computed, not measured: a geometry-optimized Ca2MnO4 structure at the PBEsol level of DFT.

Structure (POSCAR):
```
Ca2MnO4
1.0
-2.964 0.479 -2.147
-1.203 -3.369 0.910
-0.837 3.713 5.158
Ca O Mn
2 4 1
Direct
0.855 0.855 0.711
0.145 0.145 0.289
0.000 0.500 0.000
0.500 0.000 0.000
0.663 0.663 0.326
0.337 0.337 0.674
0.500 0.500 0.000
```

**Offset from the most stable computed form**: 17 meV/atom
**ΔE_f (raw)**: -17.63 eV per formula unit
**Calculated volume**: 11.4 A^3/atom
**Total magnetization**: 3.00 Bohr magnetons per cell

***

Computed, not measured: a geometry-optimized Ca3Mn2O7 structure at the PBEsol level of DFT.

Structure (POSCAR):
```
Ca3Mn2O7
1.0
-2.853 1.926 -3.924
2.947 -2.636 -3.436
-4.540 -8.478 2.610
O Ca Mn
14 6 4
Direct
0.902 0.244 0.391
0.851 0.540 0.783
0.544 0.458 0.170
0.489 0.744 0.391
0.511 0.244 0.609
0.373 0.458 0.830
0.068 0.540 0.217
0.932 0.040 0.783
0.627 0.958 0.170
0.456 0.958 0.830
0.813 0.261 0.000
0.098 0.744 0.609
0.149 0.040 0.217
0.187 0.761 0.000
0.254 0.212 0.000
0.932 0.781 0.373
0.442 0.281 0.373
0.746 0.712 0.000
0.558 0.781 0.627
0.068 0.281 0.627
0.348 0.750 0.196
0.848 0.250 0.196
0.652 0.250 0.804
0.152 0.750 0.804
```

**Offset from the most stable computed form**: 0 meV/atom
**ΔE_f (raw)**: -29.32 eV per formula unit
**Calculated volume**: 11.0 A^3/atom
**Total magnetization**: 12.00 Bohr magnetons per cell

***

Computed, not measured: a geometry-optimized CaMn2O4 structure at the PBEsol level of DFT.

Structure (POSCAR):
```
CaMn2O4
1.0
3.046 0.000 0.000
-1.523 4.864 0.000
0.000 0.000 9.708
O Mn Ca
8 4 2
Direct
0.229 0.457 0.106
0.936 0.872 0.250
0.771 0.543 0.606
0.064 0.128 0.750
0.500 0.000 0.000
0.771 0.543 0.894
0.500 0.000 0.500
0.229 0.457 0.394
0.866 0.732 0.432
0.134 0.268 0.932
0.134 0.268 0.568
0.866 0.732 0.068
0.391 0.781 0.750
0.609 0.219 0.250
```

**Offset from the most stable computed form**: 25 meV/atom
**ΔE_f (raw)**: -14.23 eV per formula unit
**Calculated volume**: 10.3 A^3/atom
**Total magnetization**: 15.02 Bohr magnetons per cell

***

Computed, not measured: a geometry-optimized CaMn2O4 structure at the PBEsol level of DFT.

Structure (POSCAR):
```
CaMn2O4
1.0
-0.202 1.363 2.981
3.549 -2.659 2.232
5.099 2.796 0.086
O Mn Ca
4 2 1
Direct
0.587 0.974 0.218
0.849 0.527 0.802
0.151 0.473 0.198
0.413 0.026 0.782
0.697 0.719 0.039
0.303 0.281 0.961
0.000 0.000 0.500
```

**Offset from the most stable computed form**: 65 meV/atom
**ΔE_f (raw)**: -13.95 eV per formula unit
**Calculated volume**: 12.3 A^3/atom
**Total magnetization**: 8.00 Bohr magnetons per cell

***

Computed, not measured: a geometry-optimized Ca3MnO4 structure at the PBEsol level of DFT.

Structure (POSCAR):
```
Ca3MnO4
1.0
-0.323 1.715 -2.829
3.103 -3.940 -2.743
-5.532 -1.422 -0.230
Mn Ca O
1 3 4
Direct
0.000 0.000 0.000
0.500 0.500 0.000
0.500 0.000 0.500
0.000 0.500 0.500
0.500 0.241 0.241
0.000 0.246 0.754
0.000 0.754 0.246
0.500 0.759 0.759
```

**Offset from the most stable computed form**: 4 meV/atom
**ΔE_f (raw)**: -20.17 eV per formula unit
**Calculated volume**: 12.8 A^3/atom
**Total magnetization**: 5.00 Bohr magnetons per cell

***

Computed, not measured: a geometry-optimized Ca2Mn3O8 structure at the PBEsol level of DFT.

Structure (POSCAR):
```
Ca2Mn3O8
1.0
-0.754 2.800 -3.976
-5.716 -0.974 0.399
2.643 3.597 4.309
Mn O Ca
3 8 2
Direct
0.000 0.259 0.000
0.000 0.741 0.000
0.500 0.000 0.000
0.608 0.677 0.799
0.957 0.603 0.206
0.043 0.397 0.794
0.902 0.097 0.193
0.392 0.878 0.201
0.608 0.122 0.799
0.392 0.323 0.201
0.098 0.903 0.807
0.334 0.275 0.550
0.666 0.725 0.450
```

**ΔE_f (raw)**: -28.59 eV per formula unit
**Calculated volume**: 11.4 A^3/atom
**Total magnetization**: 9.00 Bohr magnetons per cell

***

Computed, not measured: a geometry-optimized CaMn2O4 structure at the PBEsol level of DFT.

Structure (POSCAR):
```
CaMn2O4
1.0
-2.574 1.621 -0.795
-5.480 -7.609 2.230
-0.800 3.318 9.357
O Mn Ca
16 8 4
Direct
0.799 0.391 0.027
0.189 0.750 0.685
0.586 0.500 0.750
0.586 0.000 0.750
0.201 0.891 0.973
0.799 0.609 0.473
0.201 0.391 0.527
0.189 0.250 0.815
0.201 0.109 0.527
0.201 0.609 0.973
0.799 0.891 0.473
0.811 0.750 0.185
0.799 0.109 0.027
0.414 0.500 0.250
0.811 0.250 0.315
0.414 0.000 0.250
0.205 0.069 0.889
0.795 0.569 0.111
0.205 0.931 0.611
0.795 0.931 0.111
0.795 0.431 0.389
0.795 0.069 0.389
0.205 0.431 0.889
0.205 0.569 0.611
0.317 0.250 0.148
0.317 0.750 0.352
0.683 0.750 0.852
0.683 0.250 0.648
```

**Offset from the most stable computed form**: 0 meV/atom
**ΔE_f (raw)**: -14.40 eV per formula unit
**Calculated volume**: 10.8 A^3/atom
**Total magnetization**: 32.00 Bohr magnetons per cell

***

Computed, not measured: a geometry-optimized SrCaMnP2O8 structure at the PBEsol level of DFT.

Structure (POSCAR):
```
SrCaMnP2O8
1.0
-3.073 4.735 -0.074
-0.244 -1.530 -6.700
-5.748 -5.866 4.744
O Mn P Ca Sr
16 2 4 2 2
Direct
0.033 0.728 0.599
0.668 0.809 0.776
0.421 0.578 0.383
0.619 0.964 0.364
0.332 0.191 0.224
0.381 0.036 0.636
0.962 0.093 0.684
0.967 0.272 0.401
0.579 0.422 0.617
0.149 0.447 0.119
0.734 0.001 0.127
0.614 0.453 0.157
0.851 0.553 0.881
0.386 0.547 0.843
0.266 0.999 0.873
0.038 0.907 0.316
0.631 0.839 0.560
0.369 0.161 0.440
0.165 0.964 0.703
0.383 0.413 0.216
0.835 0.036 0.297
0.617 0.587 0.784
0.011 0.420 0.663
0.989 0.580 0.337
0.736 0.193 0.939
0.264 0.807 0.061
```

**ΔE_f (raw)**: -33.41 eV per formula unit
**Calculated volume**: 12.7 A^3/atom
**Total magnetization**: 10.00 Bohr magnetons per cell

***

Computed, not measured: a geometry-optimized CaTiMnP3O12 structure at the PBEsol level of DFT.

Structure (POSCAR):
```
CaTiMnP3O12
1.0
-3.233 5.834 -5.334
1.870 -0.354 -8.358
-6.245 -2.356 -5.630
P O Ti Ca Mn
6 24 2 2 2
Direct
0.461 0.539 0.749
0.750 0.958 0.750
0.250 0.039 0.249
0.542 0.458 0.250
0.964 0.751 0.244
0.040 0.251 0.744
0.789 0.119 0.573
0.732 0.429 0.259
0.555 0.270 0.252
0.230 0.086 0.746
0.204 0.872 0.425
0.581 0.929 0.759
0.424 0.053 0.251
0.272 0.553 0.751
0.923 0.770 0.752
0.006 0.295 0.570
0.519 0.619 0.073
0.373 0.498 0.426
0.776 0.925 0.247
0.703 0.998 0.926
0.000 0.704 0.423
0.082 0.227 0.255
0.938 0.586 0.246
0.499 0.372 0.925
0.129 0.795 0.070
0.435 0.727 0.755
0.873 0.204 0.923
0.052 0.425 0.747
0.625 0.510 0.572
0.293 0.010 0.072
0.647 0.146 0.062
0.145 0.646 0.562
0.501 0.994 0.507
0.998 0.494 0.007
0.357 0.852 0.939
0.852 0.352 0.439
```

**ΔE_f (raw)**: -44.40 eV per formula unit
**Calculated volume**: 12.7 A^3/atom
**Total magnetization**: 8.00 Bohr magnetons per cell

***

Computed, not measured: a geometry-optimized CaTi8MnP12O48 structure at the PBEsol level of DFT.

Structure (POSCAR):
```
CaTi8MnP12O48
1.0
8.544 0.000 0.000
4.272 7.399 0.000
4.272 2.466 14.236
O P Mn Ti Ca
48 12 1 8 1
Direct
0.205 0.307 0.541
0.089 0.912 0.284
0.907 0.679 0.876
0.721 0.546 0.369
0.454 0.636 0.631
0.951 0.586 0.613
0.834 0.463 0.030
0.404 0.613 0.207
0.679 0.538 0.876
0.326 0.166 0.970
0.049 0.414 0.387
0.063 0.856 0.884
0.088 0.285 0.716
0.285 0.911 0.716
0.613 0.775 0.207
0.775 0.404 0.207
0.850 0.951 0.613
0.911 0.088 0.716
0.166 0.537 0.970
0.947 0.205 0.541
0.804 0.937 0.116
0.586 0.850 0.613
0.321 0.462 0.124
0.463 0.674 0.030
0.537 0.326 0.970
0.364 0.721 0.369
0.636 0.279 0.631
0.596 0.387 0.793
0.674 0.834 0.030
0.307 0.947 0.541
0.912 0.715 0.284
0.196 0.063 0.884
0.225 0.596 0.793
0.546 0.364 0.369
0.414 0.150 0.387
0.144 0.804 0.116
0.715 0.089 0.284
0.856 0.196 0.884
0.538 0.907 0.876
0.093 0.321 0.124
0.279 0.454 0.631
0.387 0.225 0.793
0.462 0.093 0.124
0.795 0.693 0.459
0.937 0.144 0.116
0.693 0.053 0.459
0.053 0.795 0.459
0.150 0.049 0.387
0.636 0.910 0.117
0.871 0.592 0.376
0.592 0.162 0.376
0.838 0.129 0.624
0.910 0.336 0.117
0.664 0.364 0.883
0.408 0.838 0.624
0.336 0.636 0.117
0.162 0.871 0.376
0.129 0.408 0.624
0.364 0.090 0.883
0.090 0.664 0.883
0.000 0.000 0.000
0.575 0.575 0.275
0.317 0.317 0.050
0.180 0.180 0.459
0.928 0.928 0.216
0.072 0.072 0.784
0.425 0.425 0.725
0.683 0.683 0.950
0.820 0.820 0.541
0.500 0.500 0.500
```

**ΔE_f (raw)**: -180.03 eV per formula unit
**Calculated volume**: 12.9 A^3/atom
**Total magnetization**: 5.00 Bohr magnetons per cell

***

Computed, not measured: a geometry-optimized CaPrMn2O6 structure at the PBEsol level of DFT.

Structure (POSCAR):
```
CaPrMn2O6
1.0
5.351 0.000 0.000
0.000 5.373 0.000
0.000 0.000 7.564
O Mn Pr Ca
12 4 2 2
Direct
0.780 0.030 0.216
0.780 0.030 0.784
0.217 0.467 0.288
0.435 0.237 0.000
0.717 0.533 0.788
0.071 0.740 0.000
0.717 0.533 0.212
0.280 0.970 0.284
0.217 0.467 0.712
0.280 0.970 0.716
0.571 0.260 0.500
0.935 0.763 0.500
0.500 0.249 0.750
0.000 0.751 0.750
0.000 0.751 0.250
0.500 0.249 0.250
0.993 0.282 0.000
0.493 0.718 0.500
0.508 0.788 0.000
0.008 0.212 0.500
```

**ΔE_f (raw)**: -24.87 eV per formula unit
**Calculated volume**: 10.9 A^3/atom
**Total magnetization**: 13.94 Bohr magnetons per cell

***

Computed, not measured: a geometry-optimized Ca2MnSbO6 structure at the PBEsol level of DFT.

Structure (POSCAR):
```
Ca2MnSbO6
1.0
-0.949 4.534 -2.828
0.804 -2.791 -4.745
-7.452 -1.720 -0.251
Ca O Sb Mn
4 12 2 2
Direct
0.512 0.449 0.250
0.988 0.949 0.250
0.488 0.551 0.750
0.012 0.051 0.750
0.910 0.472 0.754
0.296 0.295 0.547
0.796 0.206 0.454
0.204 0.794 0.546
0.704 0.705 0.453
0.796 0.205 0.047
0.704 0.706 0.046
0.296 0.294 0.954
0.090 0.528 0.246
0.204 0.795 0.953
0.410 0.028 0.254
0.590 0.972 0.746
0.000 0.500 0.500
0.500 0.000 0.000
0.500 0.000 0.500
0.000 0.500 0.000
```

**ΔE_f (raw)**: -22.30 eV per formula unit
**Calculated volume**: 11.6 A^3/atom
**Total magnetization**: 8.00 Bohr magnetons per cell

***

Computed, not measured: a geometry-optimized Ca2MnSbO6 structure at the PBEsol level of DFT.

Structure (POSCAR):
```
Ca2MnSbO6
1.0
-4.809 0.064 -2.663
-0.569 -5.319 1.615
-3.493 2.306 6.363
Sb Ca O Mn
2 4 12 2
Direct
0.000 0.500 0.500
0.000 0.500 0.000
0.478 0.438 0.750
0.992 0.961 0.750
0.008 0.039 0.250
0.522 0.562 0.250
0.815 0.782 0.050
0.185 0.218 0.550
0.304 0.706 0.548
0.185 0.218 0.950
0.420 0.967 0.250
0.815 0.782 0.450
0.894 0.539 0.750
0.696 0.294 0.048
0.580 0.033 0.750
0.304 0.706 0.952
0.696 0.294 0.452
0.106 0.461 0.250
0.500 0.000 0.500
0.500 0.000 0.000
```

**ΔE_f (raw)**: -22.19 eV per formula unit
**Calculated volume**: 11.7 A^3/atom
**Total magnetization**: 8.00 Bohr magnetons per cell